1.
! PBE Tb8DyEr6, optimized geometry; values from VASP
&SYSTEM
  ibrav = 0, nat = 15, ntyp = 3
/
ATOMIC_SPECIES
Tb 158.93 Tb.upf
Dy 162.50 Dy.upf
Er 167.26 Er.upf
CELL_PARAMETERS angstrom
9.763 0.000 0.000
-4.881 8.455 0.000
0.000 0.000 5.764
ATOMIC_POSITIONS crystal
Tb 0.091 0.624 0.264
Tb 0.333 0.667 0.775
Tb 0.376 0.467 0.264
Tb 0.467 0.091 0.736
Tb 0.533 0.909 0.264
Tb 0.624 0.533 0.736
Tb 0.667 0.333 0.225
Tb 0.909 0.376 0.736
Dy 0.000 0.000 0.500
Er 0.050 0.777 0.778
Er 0.223 0.273 0.778
Er 0.273 0.050 0.222
Er 0.727 0.950 0.778
Er 0.777 0.727 0.222
Er 0.950 0.223 0.222
! * electronic total energy: -4.4314 eV/atom
! * offset from the most stable computed form: 40 meV per atom
! * spin magnetization: 0.000 μB per atom
! * formation enthalpy at 0 K: 0.170 eV/atom
! * DOS at the Fermi energy: 22.69 states/eV/cell



2.
! PBE LiLuInIr, optimized geometry; values from VASP
&SYSTEM
  ibrav = 0, nat = 4, ntyp = 4
/
ATOMIC_SPECIES
Li 6.94 Li.upf
Lu 174.97 Lu.upf
In 114.82 In.upf
Ir 192.22 Ir.upf
CELL_PARAMETERS angstrom
0.000 3.329 3.329
3.329 0.000 3.329
3.329 3.329 0.000
ATOMIC_POSITIONS crystal
Li 0.000 0.000 0.000
Lu 0.750 0.750 0.750
In 0.250 0.250 0.250
Ir 0.500 0.500 0.500
! * electronic total energy: -5.0676 eV/atom
! * spin magnetization: 0.000 μB per atom
! * formation enthalpy at 0 K: -0.559 eV/atom
! * DOS at the Fermi energy: 3.36 states/eV/cell



Question: What is the formula in the second record?
Answer: LiLuInIr